(1)
# AcPmSm2Ho5 | the Alexandria database | PBE | optimized geometry
data_AcPmSm2Ho5
_cell_length_a 8.840
_cell_length_b 8.840
_cell_length_c 15.554
_cell_angle_alpha 90.00
_cell_angle_beta 90.00
_cell_angle_gamma 90.00
_symmetry_space_group_name_H-M 'I 4/m c m'
_symmetry_Int_Tables_number 140
_symmetry_space_group_name_Hall '-I 4 2c'
loop_
_atom_site_label
_atom_site_type_symbol
_atom_site_fract_x
_atom_site_fract_y
_atom_site_fract_z
Ac1 Ac 0.000 0.000 0.250
Pm1 Pm 0.000 0.500 0.250
Sm1 Sm 0.116 0.384 0.000
Ho1 Ho 0.000 0.000 0.000
Ho2 Ho 0.205 0.295 0.369
# energy relative to the elements	0.254	eV per atom

(2)
# YCoTeI2 | the Alexandria database | PBE | optimized geometry
data_YCoTeI2
_cell_length_a 5.931
_cell_length_b 5.931
_cell_length_c 6.033
_cell_angle_alpha 90.00
_cell_angle_beta 90.00
_cell_angle_gamma 90.00
_symmetry_space_group_name_H-M 'P 4/m m m'
_symmetry_Int_Tables_number 123
_symmetry_space_group_name_Hall '-P 4 2'
loop_
_atom_site_label
_atom_site_type_symbol
_atom_site_fract_x
_atom_site_fract_y
_atom_site_fract_z
Y1 Y 0.000 0.000 0.000
Co1 Co 0.500 0.500 0.500
Te1 Te 0.000 0.000 0.500
I1 I 0.000 0.500 0.000
# energy relative to the lowest polymorph listed for this composition	248	meV/atom

(3)
VASP calculation (PBE) on a relaxed La2PmZnSe5 crystal.

Cell and atoms, written as CIF:
```
data_La2PmZnSe5
_cell_length_a 4.113
_cell_length_b 17.830
_cell_length_c 12.756
_cell_angle_alpha 90.00
_cell_angle_beta 90.00
_cell_angle_gamma 90.00
_symmetry_space_group_name_H-M 'C m c 21'
_symmetry_Int_Tables_number 36
loop_
_symmetry_equiv_pos_as_xyz
'x,y,z'
'-x,-y,z+1/2'
'-x,y,z'
'x,-y,z+1/2'
'x+1/2,y+1/2,z'
'-x+1/2,-y+1/2,z+1/2'
'-x+1/2,y+1/2,z'
'x+1/2,-y+1/2,z+1/2'
loop_
_atom_site_label
_atom_site_type_symbol
_atom_site_fract_x
_atom_site_fract_y
_atom_site_fract_z
La1 La 0.000 0.120 0.000
La2 La 0.000 0.122 0.649
Pm1 Pm 0.000 0.187 0.335
Zn1 Zn 0.000 0.450 0.735
Se1 Se 0.000 0.021 0.333
Se2 Se 0.000 0.301 0.999
Se3 Se 0.000 0.315 0.667
Se4 Se 0.000 0.350 0.325
Se5 Se 0.000 0.494 0.063
```

The following DFT total energy values (in eV/f.u.) correspond, in order, to the records above: -38.903 -19.207 -48.473.